# AgW2 | Alexandria | GGA-PBE | relaxed
# Total energy in eV per atom: -8.917
# Energy above the most stable polymorph in this dataset in eV/atom: 0.1670
# Energy relative to the elements in eV per formula unit: 2.01
# D(E_F) in states/eV/cell: 6.35
data_AgW2
_chemical_formula_sum 'Ag2 W4'
_space_group_name_H-M_alt 'I 4/m m m'
_space_group_IT_number 139
_space_group_name_Hall '-I 4 2'
_cell_length_a 3.304
_cell_length_b 3.304
_cell_length_c 9.353
_cell_angle_alpha 90.00
_cell_angle_beta 90.00
_cell_angle_gamma 90.00
loop_
_atom_site_label
_atom_site_type_symbol
_atom_site_fract_x
_atom_site_fract_y
_atom_site_fract_z
Ag1 Ag 0.000 0.000 0.000
W1 W 0.000 0.000 0.317

# In2CuTePb | Alexandria | GGA-PBE | relaxed
# E_form (uncorrected) in eV per formula unit: 0.00
# Total energy in eV per atom: -3.284
# D(E_F) in states/eV/cell: 2.15
data_In2CuTePb
_chemical_formula_sum 'In2 Cu1 Te1 Pb1'
_space_group_name_H-M_alt 'P 4/m m m'
_space_group_IT_number 123
_space_group_name_Hall '-P 4 2'
_cell_length_a 5.095
_cell_length_b 5.095
_cell_length_c 5.449
_cell_angle_alpha 90.00
_cell_angle_beta 90.00
_cell_angle_gamma 90.00
loop_
_atom_site_label
_atom_site_type_symbol
_atom_site_fract_x
_atom_site_fract_y
_atom_site_fract_z
In1 In 0.000 0.500 0.000
Cu1 Cu 0.000 0.000 0.000
Te1 Te 0.500 0.500 0.500
Pb1 Pb 0.000 0.000 0.500

# Zn2CoRe | Alexandria | GGA-PBE | relaxed
# Total energy in eV per atom: -5.295
# Energy above the most stable polymorph in this dataset in eV/atom: 0.2128
# Energy relative to the elements in eV per formula unit: 0.92
# D(E_F) in states/eV/cell: 6.70
data_Zn2CoRe
_chemical_formula_sum 'Zn4 Co2 Re2'
_space_group_name_H-M_alt 'I m m 2'
_space_group_IT_number 44
_cell_length_a 2.720
_cell_length_b 4.459
_cell_length_c 8.893
_cell_angle_alpha 90.00
_cell_angle_beta 90.00
_cell_angle_gamma 90.00
loop_
_space_group_symop_operation_xyz
'x,y,z'
'-x,-y,z'
'-x,y,z'
'x,-y,z'
'x+1/2,y+1/2,z+1/2'
'-x+1/2,-y+1/2,z+1/2'
'-x+1/2,y+1/2,z+1/2'
'x+1/2,-y+1/2,z+1/2'
loop_
_atom_site_label
_atom_site_type_symbol
_atom_site_fract_x
_atom_site_fract_y
_atom_site_fract_z
Zn1 Zn 0.000 0.000 0.000
Zn2 Zn 0.000 0.500 0.240
Co1 Co 0.000 0.500 0.739
Re1 Re 0.000 0.000 0.472

# CeFe3As3 | Alexandria | GGA-PBE | relaxed
# Total energy in eV per atom: -6.576
# Energy relative to the elements in eV per formula unit: -0.76
# D(E_F) in states/eV/cell: 23.13
data_CeFe3As3
_chemical_formula_sum 'Ce2 Fe6 As6'
_space_group_name_H-M_alt 'P m -3 n'
_space_group_IT_number 223
_space_group_name_Hall '-P 4n 2 3'
_cell_length_a 6.440
_cell_length_b 6.440
_cell_length_c 6.440
_cell_angle_alpha 90.00
_cell_angle_beta 90.00
_cell_angle_gamma 90.00
loop_
_atom_site_label
_atom_site_type_symbol
_atom_site_fract_x
_atom_site_fract_y
_atom_site_fract_z
Ce1 Ce 0.000 0.000 0.000
Fe1 Fe 0.000 0.250 0.500
As1 As 0.000 0.500 0.250

# Ba7Sb3O2 | Alexandria | GGA-PBE | relaxed
# E_form (uncorrected) in eV per formula unit: -16.47
# Total energy in eV per atom: -4.351
# Energy above the most stable polymorph in this dataset in eV/atom: 0.1231
# D(E_F) in states/eV/cell: 1.24
data_Ba7Sb3O2
_chemical_formula_sum 'Ba7 Sb3 O2'
_space_group_name_H-M_alt 'P 1 2/m 1'
_space_group_IT_number 10
_cell_length_a 5.431
_cell_length_b 5.057
_cell_length_c 16.120
_cell_angle_alpha 90.00
_cell_angle_beta 99.66
_cell_angle_gamma 90.00
loop_
_space_group_symop_operation_xyz
'x,y,z'
'-x,-y,-z'
'-x,y,-z'
'x,-y,z'
loop_
_atom_site_label
_atom_site_type_symbol
_atom_site_fract_x
_atom_site_fract_y
_atom_site_fract_z
Ba1 Ba 0.000 0.000 0.000
Ba2 Ba 0.112 0.500 0.223
Ba3 Ba 0.295 0.500 0.590
Ba4 Ba 0.397 0.000 0.794
Sb1 Sb 0.186 0.000 0.371
Sb2 Sb 0.500 0.500 0.000
O1 O 0.372 0.500 0.745

# Dy2PuAg3S6 | Alexandria | GGA-PBE | relaxed
# E_form (uncorrected) in eV per formula unit: -14.25
# Total energy in eV per atom: -5.925
# D(E_F) in states/eV/cell: 20.68
data_Dy2PuAg3S6
_chemical_formula_sum 'Dy4 Pu2 Ag6 S12'
_space_group_name_H-M_alt 'C 1 2/m 1'
_space_group_IT_number 12
_cell_length_a 17.115
_cell_length_b 4.042
_cell_length_c 7.581
_cell_angle_alpha 90.00
_cell_angle_beta 98.66
_cell_angle_gamma 90.00
loop_
_space_group_symop_operation_xyz
'x,y,z'
'-x,-y,-z'
'-x,y,-z'
'x,-y,z'
'x+1/2,y+1/2,z'
'-x+1/2,-y+1/2,-z'
'-x+1/2,y+1/2,-z'
'x+1/2,-y+1/2,z'
loop_
_atom_site_label
_atom_site_type_symbol
_atom_site_fract_x
_atom_site_fract_y
_atom_site_fract_z
Dy1 Dy 0.167 0.000 0.339
Pu1 Pu 0.000 0.500 0.000
Ag1 Ag 0.000 0.500 0.500
Ag2 Ag 0.159 0.000 0.849
S1 S 0.004 0.000 0.251
S2 S 0.165 0.500 0.092
S3 S 0.171 0.500 0.588